Compound: Pr4SmIn2
Source: Alexandria
Functional: GGA-PBE
Structure: optimized geometry

Structure (POSCAR):
```
Pr4SmIn2
1.0
6.044 0.000 0.000
0.000 6.044 0.000
-3.022 -3.022 6.467
Sm In Pr
1 2 4
direct
0.000 0.000 0.000
0.377 0.377 0.754
0.623 0.623 0.246
0.250 0.750 0.500
0.500 0.000 0.000
0.000 0.500 0.000
0.750 0.250 0.500
```

## Properties
DFT total energy (eV per atom): -4.12
Excess energy over the best structure of this formula in the dataset (meV per atom): 260
E_form (eV/atom): 0.07
Space group: I4/mmm

***

Compound: Pr4Sm3In2
Source: Alexandria
Functional: GGA-PBE
Structure: optimized geometry

Structure (POSCAR):
```
Pr4Sm3In2
1.0
-5.465 0.130 -0.475
-3.274 0.399 6.091
-2.839 8.735 3.450
Sm Pr In
3 4 2
direct
0.000 0.000 0.000
0.419 0.808 0.353
0.581 0.192 0.647
0.119 0.418 0.344
0.881 0.582 0.656
0.669 0.626 0.037
0.331 0.374 0.963
0.208 0.902 0.683
0.792 0.098 0.317
```

## Properties
DFT total energy (eV per atom): -4.49
E_form (eV/atom): -0.18
Space group: P-1

***

Compound: Pr2SmIn
Source: Alexandria
Functional: GGA-PBE
Structure: optimized geometry

Structure (POSCAR):
```
Pr2SmIn
1.0
3.735 0.000 0.000
1.867 3.235 0.000
1.867 1.078 11.144
In Pr Sm
1 2 1
direct
0.666 0.666 0.001
0.077 0.077 0.768
0.256 0.256 0.232
0.500 0.500 0.500
```

## Properties
DFT total energy (eV per atom): -4.37
Excess energy over the best structure of this formula in the dataset (meV per atom): 158
E_form (eV/atom): -0.11
Space group: R3m

***

Compound: Pr3SmIn3
Source: Alexandria
Functional: GGA-PBE
Structure: optimized geometry

Structure (POSCAR):
```
Pr3SmIn3
1.0
9.628 0.000 0.000
0.000 9.628 0.000
0.000 0.000 9.628
Sm Pr In
4 12 12
direct
0.575 0.925 0.075
0.425 0.425 0.425
0.925 0.075 0.575
0.075 0.575 0.925
0.072 0.428 0.572
0.928 0.928 0.928
0.327 0.173 0.827
0.827 0.327 0.173
0.572 0.072 0.428
0.175 0.175 0.175
0.675 0.325 0.825
0.325 0.825 0.675
0.673 0.673 0.673
0.173 0.827 0.327
0.825 0.675 0.325
0.428 0.572 0.072
0.747 0.371 0.498
0.502 0.247 0.129
0.002 0.253 0.871
0.753 0.629 0.998
0.998 0.753 0.629
0.253 0.871 0.002
0.129 0.502 0.247
0.871 0.002 0.253
0.629 0.998 0.753
0.247 0.129 0.502
0.498 0.747 0.371
0.371 0.498 0.747
```

## Properties
DFT total energy (eV per atom): -4.24
Excess energy over the best structure of this formula in the dataset (meV per atom): 0
E_form (eV/atom): -0.34
Space group: P2_13

***

Compound: PrSm6In2
Source: Alexandria
Functional: GGA-PBE
Structure: optimized geometry

Structure (POSCAR):
```
PrSm6In2
1.0
-3.916 -1.855 -2.314
-0.843 -5.819 6.095
-4.784 1.628 6.796
Sm In Pr
6 2 1
direct
0.266 0.394 0.803
0.264 0.803 0.803
0.734 0.197 0.606
0.266 0.803 0.394
0.736 0.197 0.197
0.734 0.606 0.197
0.766 0.666 0.666
0.234 0.334 0.334
0.000 0.000 0.000
```

## Properties
DFT total energy (eV per atom): -4.21
Excess energy over the best structure of this formula in the dataset (meV per atom): 264
E_form (eV/atom): 0.07
Space group: C2/m

***

Compound: Pr2SmIn
Source: Alexandria
Functional: GGA-PBE
Structure: optimized geometry

Structure (POSCAR):
```
Pr2SmIn
1.0
3.676 0.000 0.000
0.000 3.676 0.000
0.000 0.000 9.630
Pr In Sm
2 1 1
direct
0.000 0.000 0.225
0.000 0.000 0.775
0.500 0.500 0.000
0.500 0.500 0.500
```

## Properties
DFT total energy (eV per atom): -4.47
Excess energy over the best structure of this formula in the dataset (meV per atom): 59
E_form (eV/atom): -0.21
Space group: P4/mmm

***

Compound: Pr4Sm5In
Source: Alexandria
Functional: GGA-PBE
Structure: optimized geometry

Structure (POSCAR):
```
Pr4Sm5In
1.0
4.259 0.000 0.000
0.000 4.259 0.000
0.000 0.000 18.379
In Pr Sm
1 4 5
direct
0.000 0.000 0.000
0.000 0.000 0.602
0.000 0.000 0.196
0.000 0.000 0.804
0.000 0.000 0.398
0.500 0.500 0.292
0.500 0.500 0.913
0.500 0.500 0.500
0.500 0.500 0.087
0.500 0.500 0.708
```

## Properties
DFT total energy (eV per atom): -4.55
Excess energy over the best structure of this formula in the dataset (meV per atom): 0
E_form (eV/atom): 0.00
Space group: P4/mmm

***

Compound: PrSm6In2
Source: Alexandria
Functional: GGA-PBE
Structure: optimized geometry

Structure (POSCAR):
```
PrSm6In2
1.0
-1.173 3.127 1.937
1.836 -0.934 6.469
10.500 5.614 1.143
Sm Pr In
6 1 2
direct
0.011 0.317 0.660
0.312 0.501 0.875
0.989 0.683 0.340
0.310 0.797 0.583
0.690 0.203 0.417
0.688 0.499 0.125
0.000 0.000 0.000
0.355 0.076 0.214
0.645 0.924 0.786
```

## Properties
DFT total energy (eV per atom): -4.48
Excess energy over the best structure of this formula in the dataset (meV per atom): 0
E_form (eV/atom): -0.19
Space group: C2/m